# GGA-PBE RbTe2H2, optimized geometry
data_RbTe2H2
_chemical_formula_sum 'Rb2 Te4 H4'
_cell_length_a 4.739
_cell_length_b 4.739
_cell_length_c 10.141
_cell_angle_alpha 90.00
_cell_angle_beta 90.00
_cell_angle_gamma 90.00
_symmetry_space_group_name_H-M 'I 4/m m m'
_symmetry_Int_Tables_number 139
_symmetry_space_group_name_Hall '-I 4 2'
loop_
_atom_site_label
_atom_site_fract_x
_atom_site_fract_y
_atom_site_fract_z
Rb1 0.000 0.000 0.000
Te1 0.000 0.000 0.361
H1 0.000 0.500 0.250
# crystal system = tetragonal
# excess energy over the best structure of this formula in the dataset = 519 meV/atom

***

# GGA-PBE Rb2TeH2, optimized geometry
data_Rb2TeH2
_chemical_formula_sum 'Rb8 Te4 H8'
_cell_length_a 10.607
_cell_length_b 6.000
_cell_length_c 10.471
_cell_angle_alpha 90.00
_cell_angle_beta 110.91
_cell_angle_gamma 90.00
_symmetry_space_group_name_H-M 'C 1 2/c 1'
_symmetry_Int_Tables_number 15
_symmetry_space_group_name_Hall '-C 2yc'
loop_
_atom_site_label
_atom_site_fract_x
_atom_site_fract_y
_atom_site_fract_z
Rb1 0.126 0.235 0.127
Te1 0.000 0.270 0.750
H1 0.225 0.294 0.482
# crystal system = monoclinic
# excess energy over the best structure of this formula in the dataset = 0 meV/atom

***

# GGA-PBE Rb2TlTe2H, optimized geometry
data_Rb2TlTe2H
_chemical_formula_sum 'Rb8 Tl4 Te8 H4'
_cell_length_a 11.173
_cell_length_b 13.285
_cell_length_c 7.501
_cell_angle_alpha 90.00
_cell_angle_beta 90.00
_cell_angle_gamma 90.00
_symmetry_space_group_name_H-M 'I b a m'
_symmetry_Int_Tables_number 72
_symmetry_space_group_name_Hall '-I 2 2c'
loop_
_atom_site_label
_atom_site_fract_x
_atom_site_fract_y
_atom_site_fract_z
Rb1 0.136 0.101 0.000
Tl1 0.000 0.500 0.250
Te1 0.144 0.385 0.000
H1 0.000 0.000 0.250
# crystal system = orthorhombic
# calculated total energy = -64.8 eV per cell

***

# GGA-PBE Rb2TlTeH, optimized geometry
data_Rb2TlTeH
_chemical_formula_sum 'Rb2 Tl1 Te1 H1'
_cell_length_a 5.516
_cell_length_b 5.516
_cell_length_c 5.341
_cell_angle_alpha 90.00
_cell_angle_beta 90.00
_cell_angle_gamma 90.00
_symmetry_space_group_name_H-M 'P 4/m m m'
_symmetry_Int_Tables_number 123
_symmetry_space_group_name_Hall '-P 4 2'
loop_
_atom_site_label
_atom_site_fract_x
_atom_site_fract_y
_atom_site_fract_z
Rb1 0.000 0.500 0.000
Tl1 0.000 0.000 0.500
Te1 0.500 0.500 0.500
H1 0.000 0.000 0.000
# crystal system = tetragonal
# calculated total energy = -13.0 eV per cell

***

# GGA-PBE RbTi3H, optimized geometry
data_RbTi3H
_chemical_formula_sum 'Rb1 Ti3 H1'
_cell_length_a 4.760
_cell_length_b 4.760
_cell_length_c 4.760
_cell_angle_alpha 90.00
_cell_angle_beta 90.00
_cell_angle_gamma 90.00
_symmetry_space_group_name_H-M 'P m -3 m'
_symmetry_Int_Tables_number 221
_symmetry_space_group_name_Hall '-P 4 2 3'
loop_
_atom_site_label
_atom_site_fract_x
_atom_site_fract_y
_atom_site_fract_z
Rb1 0.000 0.000 0.000
Ti1 0.000 0.000 0.500
H1 0.500 0.500 0.500
# crystal system = cubic
# excess energy over the best structure of this formula in the dataset = 1820 meV/atom

***

# GGA-PBE RbTiH3, optimized geometry
data_RbTiH3
_chemical_formula_sum 'Rb1 Ti1 H3'
_cell_length_a 4.072
_cell_length_b 4.072
_cell_length_c 4.072
_cell_angle_alpha 90.00
_cell_angle_beta 90.00
_cell_angle_gamma 90.00
_symmetry_space_group_name_H-M 'P m -3 m'
_symmetry_Int_Tables_number 221
_symmetry_space_group_name_Hall '-P 4 2 3'
loop_
_atom_site_label
_atom_site_fract_x
_atom_site_fract_y
_atom_site_fract_z
Rb1 0.000 0.000 0.000
Ti1 0.500 0.500 0.500
H1 0.000 0.500 0.500
# crystal system = cubic
# excess energy over the best structure of this formula in the dataset = 0 meV/atom

***

# GGA-PBE RbTiH2, optimized geometry
data_RbTiH2
_chemical_formula_sum 'Rb4 Ti4 H8'
_cell_length_a 5.902
_cell_length_b 5.902
_cell_length_c 8.149
_cell_angle_alpha 90.00
_cell_angle_beta 90.00
_cell_angle_gamma 90.00
_symmetry_space_group_name_H-M 'I -4 2 d'
_symmetry_Int_Tables_number 122
_symmetry_space_group_name_Hall 'I -4 2bw'
loop_
_atom_site_label
_atom_site_fract_x
_atom_site_fract_y
_atom_site_fract_z
Rb1 0.000 0.000 0.000
Ti1 0.000 0.000 0.500
H1 0.125 0.250 0.625
# crystal system = tetragonal
# excess energy over the best structure of this formula in the dataset = 0 meV/atom

***

# GGA-PBE RbTiH2, optimized geometry
data_RbTiH2
_chemical_formula_sum 'Rb4 Ti4 H8'
_cell_length_a 6.489
_cell_length_b 6.489
_cell_length_c 6.489
_cell_angle_alpha 90.00
_cell_angle_beta 90.00
_cell_angle_gamma 90.00
_symmetry_space_group_name_H-M 'F m -3 m'
_symmetry_Int_Tables_number 225
_symmetry_space_group_name_Hall '-F 4 2 3'
loop_
_atom_site_label
_atom_site_fract_x
_atom_site_fract_y
_atom_site_fract_z
Rb1 0.000 0.000 0.000
Ti1 0.000 0.000 0.500
H1 0.250 0.250 0.250
# crystal system = cubic
# excess energy over the best structure of this formula in the dataset = 692 meV/atom

***

# GGA-PBE RbTi3H, optimized geometry
data_RbTi3H
_chemical_formula_sum 'Rb1 Ti3 H1'
_cell_length_a 4.406
_cell_length_b 4.406
_cell_length_c 4.406
_cell_angle_alpha 90.00
_cell_angle_beta 90.00
_cell_angle_gamma 90.00
_symmetry_space_group_name_H-M 'P m -3 m'
_symmetry_Int_Tables_number 221
_symmetry_space_group_name_Hall '-P 4 2 3'
loop_
_atom_site_label
_atom_site_fract_x
_atom_site_fract_y
_atom_site_fract_z
Rb1 0.000 0.000 0.000
Ti1 0.000 0.500 0.500
H1 0.500 0.500 0.500
# crystal system = cubic
# excess energy over the best structure of this formula in the dataset = 0 meV/atom

***

# GGA-PBE RbTiH3, optimized geometry
data_RbTiH3
_chemical_formula_sum 'Rb1 Ti1 H3'
_cell_length_a 4.630
_cell_length_b 4.630
_cell_length_c 4.630
_cell_angle_alpha 90.00
_cell_angle_beta 90.00
_cell_angle_gamma 90.00
_symmetry_space_group_name_H-M 'P m -3 m'
_symmetry_Int_Tables_number 221
_symmetry_space_group_name_Hall '-P 4 2 3'
loop_
_atom_site_label
_atom_site_fract_x
_atom_site_fract_y
_atom_site_fract_z
Rb1 0.000 0.000 0.000
Ti1 0.500 0.500 0.500
H1 0.000 0.000 0.500
# crystal system = cubic
# excess energy over the best structure of this formula in the dataset = 1343 meV/atom

***

# GGA-PBE RbTi2HW, optimized geometry
data_RbTi2HW
_chemical_formula_sum 'Rb1 Ti2 H1 W1'
_cell_length_a 4.689
_cell_length_b 4.689
_cell_length_c 7.275
_cell_angle_alpha 90.00
_cell_angle_beta 90.00
_cell_angle_gamma 90.00
_symmetry_space_group_name_H-M 'P 4/m m m'
_symmetry_Int_Tables_number 123
_symmetry_space_group_name_Hall '-P 4 2'
loop_
_atom_site_label
_atom_site_fract_x
_atom_site_fract_y
_atom_site_fract_z
Rb1 0.000 0.000 0.000
Ti1 0.000 0.500 0.500
H1 0.500 0.500 0.000
W1 0.000 0.000 0.500
# crystal system = tetragonal
# calculated total energy = -25.5 eV per cell

***

# GGA-PBE RbTiZnH2, optimized geometry
data_RbTiZnH2
_chemical_formula_sum 'Rb1 Ti1 Zn1 H2'
_cell_length_a 4.269
_cell_length_b 4.269
_cell_length_c 6.266
_cell_angle_alpha 90.00
_cell_angle_beta 90.00
_cell_angle_gamma 90.00
_symmetry_space_group_name_H-M 'P 4/m m m'
_symmetry_Int_Tables_number 123
_symmetry_space_group_name_Hall '-P 4 2'
loop_
_atom_site_label
_atom_site_fract_x
_atom_site_fract_y
_atom_site_fract_z
Rb1 0.000 0.000 0.000
Ti1 0.500 0.500 0.000
Zn1 0.000 0.000 0.500
H1 0.000 0.500 0.500
# crystal system = tetragonal
# calculated total energy = -9.8 eV per cell